## Y2SnSe (PBE-GGA)

Data for a relaxed Y2SnSe crystal.

Lattice parameters (Å, degrees): 7.374 7.374 7.374 131.68 131.68 70.73
Sites, in units of the cell vectors:
Y 0.120 0.370 0.750
Y 0.370 0.120 0.250
Y 0.630 0.880 0.750
Y 0.880 0.630 0.250
Sn 0.375 0.625 0.750
Sn 0.625 0.375 0.250
Se 0.125 0.875 0.250
Se 0.875 0.125 0.750

Computed properties:
Energy relative to the lowest polymorph listed for this composition ... 0 meV per atom
Formation energy (no corrections) ... -1.28 eV/atom
Uncorrected energy ... -6.381 eV per atom



## Y2SnSe2 (PBE-GGA)

Data for a relaxed Y2SnSe2 crystal.

Lattice parameters (Å, degrees): 8.218 8.218 3.722 90.00 90.00 90.00
Sites, in units of the cell vectors:
Y 0.160 0.340 0.000
Y 0.340 0.840 0.000
Y 0.660 0.160 0.000
Y 0.840 0.660 0.000
Sn 0.000 0.000 0.000
Sn 0.500 0.500 0.000
Se 0.139 0.639 0.500
Se 0.361 0.139 0.500
Se 0.639 0.861 0.500
Se 0.861 0.361 0.500

Computed properties:
Energy relative to the lowest polymorph listed for this composition ... 2 meV per atom
Formation energy (no corrections) ... -1.17 eV/atom
Uncorrected energy ... -5.950 eV per atom



## YSnSe (PBE-GGA)

Data for a relaxed YSnSe crystal.

Lattice parameters (Å, degrees): 9.673 9.673 9.673 155.61 155.61 34.77
Sites, in units of the cell vectors:
Y 0.152 0.152 0.000
Y 0.848 0.848 0.000
Sn 0.000 0.500 0.500
Sn 0.500 0.000 0.500
Se 0.312 0.312 0.000
Se 0.688 0.688 0.000

Computed properties:
Formation energy (no corrections) ... -1.20 eV/atom
Uncorrected energy ... -5.849 eV per atom